Computed, not measured: an optimized crystal structure of PrCd4In4 at the PBE level of DFT.

Values from the calculation:
- ΔE_f (eV/atom) = -0.073
- VASP energy (eV/atom) = -2.23

abc: 6.5650 6.5650 11.0098
angles: 90.00 90.00 90.00
Sites, in units of the cell vectors:
Pr 0.0000 0.0000 0.0000
Pr 0.5000 0.5000 0.5000
Cd 0.2127 0.5000 0.9457
Cd 0.7873 0.5000 0.9457
Cd 0.5000 0.7873 0.0543
Cd 0.5000 0.2127 0.0543
Cd 0.0000 0.7127 0.4457
Cd 0.0000 0.2873 0.4457
Cd 0.2873 0.0000 0.5543
Cd 0.7127 0.0000 0.5543
In 0.5000 0.7591 0.7752
In 0.5000 0.2409 0.7752
In 0.7591 0.5000 0.2248
In 0.2409 0.5000 0.2248
In 0.2591 0.0000 0.2752
In 0.7409 0.0000 0.2752
In 0.0000 0.2591 0.7248
In 0.0000 0.7409 0.7248

=====

Computed, not measured: an optimized crystal structure of Pr2Cd5In at the PBE level of DFT.

Values from the calculation:
- distance to the lowest polymorph of the same formula (kcal/mol of atoms) = 0.00
- ΔE_f (eV/atom) = -0.300
- VASP energy (eV/atom) = -2.41

abc: 6.6881 6.6881 6.6881
angles: 88.90 120.64 120.64
Sites, in units of the cell vectors:
Pr 0.5000 0.2778 0.7778
Pr 0.5000 0.7778 0.2778
Cd 0.5000 0.7778 0.7778
Cd 0.0000 0.7778 0.2778
Cd 0.0000 0.2778 0.7778
Cd 0.5000 0.2778 0.2778
Cd 0.0000 0.2774 0.2774
In 0.0000 0.7778 0.7778

=====

Computed, not measured: an optimized crystal structure of PrCd2In2 at the PBE level of DFT.

Values from the calculation:
- distance to the lowest polymorph of the same formula (kcal/mol of atoms) = 0.00
- ΔE_f (eV/atom) = -0.155
- VASP energy (eV/atom) = -2.57

abc: 6.4583 5.0752 5.0752
angles: 120.00 90.00 90.00
Sites, in units of the cell vectors:
Pr 0.0000 0.0000 0.0000
Cd 0.2617 0.6667 0.3333
Cd 0.7383 0.3333 0.6667
In 0.7391 0.6667 0.3333
In 0.2609 0.3333 0.6667

=====

Computed, not measured: an optimized crystal structure of Pr6Cd6In at the PBE level of DFT.

Values from the calculation:
- ΔE_f (eV/atom) = -0.184
- VASP energy (eV/atom) = -3.02

abc: 6.2162 6.2162 11.5022
angles: 90.00 90.00 120.00
Sites, in units of the cell vectors:
Pr 0.0000 0.0000 0.6624
Pr 0.0000 0.0000 0.3376
Pr 0.3333 0.6667 0.0000
Pr 0.6667 0.3333 0.0000
Pr 0.3333 0.6667 0.5000
Pr 0.6667 0.3333 0.5000
Cd 0.0000 0.5000 0.7563
Cd 0.5000 0.0000 0.7563
Cd 0.5000 0.5000 0.7563
Cd 0.5000 0.0000 0.2437
Cd 0.0000 0.5000 0.2437
Cd 0.5000 0.5000 0.2437
In 0.0000 0.0000 0.0000